[1]
GaCuBi2Ir, relaxed, DFT PBE; E_form = 0.52 eV/atom
1.0
5.4055 0.0000 0.0000
0.0000 5.4055 0.0000
0.0000 0.0000 4.7213
Ga Cu Bi Ir
1 1 2 1
direct
0.0000 0.0000 0.0000 Ga
0.5000 0.5000 0.0000 Cu
0.0000 0.5000 0.5000 Bi
0.5000 0.0000 0.5000 Bi
0.0000 0.0000 0.5000 Ir



[2]
GaCu2Bi2O6, relaxed, DFT PBE; E_form (uncorrected) = -0.92 eV per atom
1.0
2.9628 1.7106 5.0729
-2.9628 1.7106 5.0729
0.0000 -3.4212 5.0729
Ga Cu Bi O
1 2 2 6
direct
0.0000 0.0000 0.0000 Ga
0.4155 0.4155 0.4155 Cu
0.5845 0.5845 0.5845 Cu
0.1948 0.1948 0.1948 Bi
0.8052 0.8052 0.8052 Bi
0.2051 0.7651 0.7651 O
0.2349 0.2349 0.7949 O
0.2349 0.7949 0.2349 O
0.7651 0.2051 0.7651 O
0.7651 0.7651 0.2051 O
0.7949 0.2349 0.2349 O



[3]
GaCu2BiO6, relaxed, DFT PBE; E_form (uncorrected) = -0.89 eV per atom
1.0
5.2667 0.0000 0.0000
2.6246 4.5673 0.0000
2.6176 1.5066 4.7049
Ga Cu Bi O
1 2 1 6
direct
0.0000 0.0000 0.0000 Ga
0.2981 0.2965 0.1081 Cu
0.7940 0.7938 0.6200 Cu
0.5060 0.5048 0.4843 Bi
0.0751 0.7002 0.8321 O
0.1585 0.5870 0.3134 O
0.3915 0.0768 0.8344 O
0.5889 0.9393 0.3164 O
0.6976 0.3908 0.8352 O
0.9422 0.1590 0.3125 O



[4]
GaCu2BiS4, relaxed, DFT PBE; E_form (uncorrected) = -0.38 eV per atom
1.0
-2.8493 2.8493 5.3467
2.8493 -2.8493 5.3467
2.8493 2.8493 -5.3467
Ga Cu Bi S
1 2 1 4
direct
0.0000 0.0000 0.0000 Ga
0.2500 0.7500 0.5000 Cu
0.7500 0.2500 0.5000 Cu
0.5000 0.5000 0.0000 Bi
0.0768 0.6403 0.0000 S
0.3597 0.3597 0.4366 S
0.6403 0.0768 0.0000 S
0.9232 0.9232 0.5634 S



[5]
GdCuBi, relaxed, DFT PBE; E_form = -0.17 eV/atom
1.0
-2.0842 2.0842 4.4283
2.0842 -2.0842 4.4283
2.0842 2.0842 -4.4283
Gd Cu Bi
1 1 1
direct
0.0000 0.0000 0.0000 Gd
0.3351 0.3351 0.0000 Cu
0.6502 0.6502 0.0000 Bi



[6]
Gd5CuBi3, relaxed, DFT PBE; E_form = -0.69 eV/atom
1.0
9.4197 0.0000 0.0000
-4.7098 8.1577 0.0000
0.0000 0.0000 6.4941
Gd Cu Bi
10 2 6
direct
0.0000 0.2543 0.2500 Gd
0.0000 0.7457 0.7500 Gd
0.2543 0.0000 0.2500 Gd
0.2543 0.2543 0.7500 Gd
0.3333 0.6667 0.0000 Gd
0.3333 0.6667 0.5000 Gd
0.6667 0.3333 0.0000 Gd
0.6667 0.3333 0.5000 Gd
0.7457 0.0000 0.7500 Gd
0.7457 0.7457 0.2500 Gd
0.0000 0.0000 0.0000 Cu
0.0000 0.0000 0.5000 Cu
0.0000 0.3865 0.7500 Bi
0.0000 0.6135 0.2500 Bi
0.3865 0.0000 0.7500 Bi
0.3865 0.3865 0.2500 Bi
0.6135 0.0000 0.2500 Bi
0.6135 0.6135 0.7500 Bi



[7]
GdCuBi, relaxed, DFT PBE; E_form = -0.44 eV/atom
1.0
4.4524 0.0000 0.0000
-2.2262 3.8559 0.0000
0.0000 0.0000 4.2859
Gd Cu Bi
1 1 1
direct
0.0000 0.0000 0.0000 Gd
0.3333 0.6667 0.3620 Cu
0.6667 0.3333 0.5209 Bi



[8]
LaGdCuBi, relaxed, DFT PBE; E_form = -0.40 eV/atom
1.0
0.0000 3.8099 3.8099
3.8099 0.0000 3.8099
3.8099 3.8099 0.0000
La Gd Cu Bi
1 1 1 1
direct
0.0000 0.0000 0.0000 La
0.5000 0.5000 0.5000 Gd
0.7500 0.7500 0.7500 Cu
0.2500 0.2500 0.2500 Bi



Let's list VASP energy in order: -21.14 -58.86 -53.76 -34.62 -22.55 -184.62 -23.39 -28.58 eV/cell.